No. 1
# NaI2BrN (PBE-GGA, optimized geometry)
# DOS at the Fermi energy, states/eV per cell: 3.3
# Calculated density, g/cm3: 3.57
# Energy above the lowest structure with this stoichiometry, eV per atom: 0.0000
# Formation energy (no corrections), eV/atom: 0.61
data_NaI2BrN
_symmetry_space_group_name_H-M 'P 4/m m m'
_symmetry_Int_Tables_number 123
_symmetry_space_group_name_Hall '-P 4 2'
_cell_length_a 6.777
_cell_length_b 6.777
_cell_length_c 3.751
_cell_angle_alpha 90.00
_cell_angle_beta 90.00
_cell_angle_gamma 90.00
loop_
_atom_site_label
_atom_site_fract_x
_atom_site_fract_y
_atom_site_fract_z
Na1 0.000 0.000 0.000
I1 0.000 0.500 0.500
Br1 0.500 0.500 0.500
N1 0.500 0.500 0.000


No. 2
# CdPb2Br (PBE-GGA, optimized geometry)
# DOS at the Fermi energy, states/eV per cell: 4.1
# Calculated density, g/cm3: 8.55
# Energy above the lowest structure with this stoichiometry, eV per atom: 0.1179
# Formation energy (no corrections), eV/atom: -0.06
data_CdPb2Br
_symmetry_space_group_name_H-M 'I 4/m m m'
_symmetry_Int_Tables_number 139
_symmetry_space_group_name_Hall '-I 4 2'
_cell_length_a 4.965
_cell_length_b 4.965
_cell_length_c 9.556
_cell_angle_alpha 90.00
_cell_angle_beta 90.00
_cell_angle_gamma 90.00
loop_
_atom_site_label
_atom_site_fract_x
_atom_site_fract_y
_atom_site_fract_z
Cd1 0.000 0.000 0.000
Pb1 0.000 0.500 0.250
Br1 0.000 0.000 0.500


No. 3
# Ta4In2O (PBE-GGA, optimized geometry)
# DOS at the Fermi energy, states/eV per cell: 9.6
# Calculated density, g/cm3: 12.39
# Formation energy (no corrections), eV/atom: -0.04
data_Ta4In2O
_symmetry_space_group_name_H-M 'I 4/m m m'
_symmetry_Int_Tables_number 139
_symmetry_space_group_name_Hall '-I 4 2'
_cell_length_a 4.243
_cell_length_b 4.243
_cell_length_c 14.433
_cell_angle_alpha 90.00
_cell_angle_beta 90.00
_cell_angle_gamma 90.00
loop_
_atom_site_label
_atom_site_fract_x
_atom_site_fract_y
_atom_site_fract_z
Ta1 0.000 0.000 0.148
Ta2 0.000 0.500 0.000
In1 0.000 0.000 0.347
O1 0.000 0.000 0.000


No. 4
# LiHg2PRu (PBE-GGA, optimized geometry)
# DOS at the Fermi energy, states/eV per cell: 0.7
# Calculated density, g/cm3: 7.77
# Energy above the lowest structure with this stoichiometry, eV per atom: 0.2761
data_LiHg2PRu
_symmetry_space_group_name_H-M 'P 4/m m m'
_symmetry_Int_Tables_number 123
_symmetry_space_group_name_Hall '-P 4 2'
_cell_length_a 5.128
_cell_length_b 5.128
_cell_length_c 4.388
_cell_angle_alpha 90.00
_cell_angle_beta 90.00
_cell_angle_gamma 90.00
loop_
_atom_site_label
_atom_site_fract_x
_atom_site_fract_y
_atom_site_fract_z
Li1 0.000 0.000 0.000
Hg1 0.000 0.500 0.500
P1 0.500 0.500 0.500
Ru1 0.500 0.500 0.000


No. 5
# Nd2SmTa (PBE-GGA, optimized geometry)
# DOS at the Fermi energy, states/eV per cell: 21.0
# DFT total energy, eV for the cell shown: -70.2
# Calculated density, g/cm3: 8.87
data_Nd2SmTa
_symmetry_space_group_name_H-M 'R -3 m'
_symmetry_Int_Tables_number 166
_symmetry_space_group_name_Hall '-R 3 2"'
_cell_length_a 3.3189
_cell_length_b 3.3189
_cell_length_c 36.4901
_cell_angle_alpha 90.00
_cell_angle_beta 90.00
_cell_angle_gamma 120.00
loop_
_atom_site_label
_atom_site_fract_x
_atom_site_fract_y
_atom_site_fract_z
Nd1 0.0000 0.0000 0.0807
Sm1 0.0000 0.0000 0.5000
Ta1 0.0000 0.0000 0.0000


No. 6
# HfBBr3 (PBE-GGA, optimized geometry)
# DOS at the Fermi energy, states/eV per cell: 4.2
# Calculated density, g/cm3: 6.71
# Formation energy (no corrections), eV/atom: 0.81
data_HfBBr3
_symmetry_space_group_name_H-M 'P m -3 m'
_symmetry_Int_Tables_number 221
_symmetry_space_group_name_Hall '-P 4 2 3'
_cell_length_a 4.736
_cell_length_b 4.736
_cell_length_c 4.736
_cell_angle_alpha 90.00
_cell_angle_beta 90.00
_cell_angle_gamma 90.00
loop_
_atom_site_label
_atom_site_fract_x
_atom_site_fract_y
_atom_site_fract_z
Hf1 0.000 0.000 0.000
B1 0.500 0.500 0.500
Br1 0.000 0.500 0.500


No. 7
# Ta2CuBr (PBE-GGA, optimized geometry)
# DOS at the Fermi energy, states/eV per cell: 3.3
# Calculated density, g/cm3: 10.79
# Energy above the lowest structure with this stoichiometry, eV per atom: 0.1235
# Formation energy (no corrections), eV/atom: 0.39
data_Ta2CuBr
_symmetry_space_group_name_H-M 'P 4 m m'
_symmetry_Int_Tables_number 99
_symmetry_space_group_name_Hall 'P 4 -2'
_cell_length_a 3.423
_cell_length_b 3.423
_cell_length_c 6.639
_cell_angle_alpha 90.00
_cell_angle_beta 90.00
_cell_angle_gamma 90.00
loop_
_atom_site_label
_atom_site_fract_x
_atom_site_fract_y
_atom_site_fract_z
Ta1 0.000 0.000 0.000
Ta2 0.500 0.500 0.201
Cu1 0.500 0.500 0.805
Br1 0.000 0.000 0.564


No. 8
# ThSnTe3 (PBE-GGA, optimized geometry)
# Calculated density, g/cm3: 7.06
# Energy above the lowest structure with this stoichiometry, eV per atom: 0.0000
# Formation energy (no corrections), eV/atom: -0.83
data_ThSnTe3
_symmetry_space_group_name_H-M 'P 1 21/m 1'
_symmetry_Int_Tables_number 11
_symmetry_space_group_name_Hall '-P 2yb'
_cell_length_a 8.753
_cell_length_b 4.389
_cell_length_c 9.625
_cell_angle_alpha 90.00
_cell_angle_beta 111.15
_cell_angle_gamma 90.00
loop_
_atom_site_label
_atom_site_fract_x
_atom_site_fract_y
_atom_site_fract_z
Th1 0.014 0.250 0.236
Sn1 0.439 0.750 0.694
Te1 0.155 0.250 0.606
Te2 0.191 0.250 0.994
Te3 0.313 0.750 0.359


No. 9
# KLi2Ge2 (PBE-GGA, optimized geometry)
# DOS at the Fermi energy, states/eV per cell: 3.5
# Calculated density, g/cm3: 2.83
# Energy above the lowest structure with this stoichiometry, eV per atom: 0.0000
data_KLi2Ge2
_symmetry_space_group_name_H-M 'I 4/m m m'
_symmetry_Int_Tables_number 139
_symmetry_space_group_name_Hall '-I 4 2'
_cell_length_a 4.982
_cell_length_b 4.982
_cell_length_c 9.388
_cell_angle_alpha 90.00
_cell_angle_beta 90.00
_cell_angle_gamma 90.00
loop_
_atom_site_label
_atom_site_fract_x
_atom_site_fract_y
_atom_site_fract_z
K1 0.000 0.000 0.000
Li1 0.000 0.500 0.250
Ge1 0.000 0.000 0.375


No. 10
# PmDyErCd (PBE-GGA, optimized geometry)
# DOS at the Fermi energy, states/eV per cell: 4.0
# Calculated density, g/cm3: 8.31
# Energy above the lowest structure with this stoichiometry, eV per atom: 0.0000
data_PmDyErCd
_symmetry_space_group_name_H-M 'P 4 m m'
_symmetry_Int_Tables_number 99
_symmetry_space_group_name_Hall 'P 4 -2'
_cell_length_a 3.606
_cell_length_b 3.606
_cell_length_c 9.028
_cell_angle_alpha 90.00
_cell_angle_beta 90.00
_cell_angle_gamma 90.00
loop_
_atom_site_label
_atom_site_fract_x
_atom_site_fract_y
_atom_site_fract_z
Pm1 0.000 0.000 0.000
Dy1 0.500 0.500 0.721
Er1 0.500 0.500 0.276
Cd1 0.000 0.000 0.496


No. 11
# ZnSeO4 (PBE-GGA, optimized geometry)
# DOS at the Fermi energy, states/eV per cell: 0.0
# Calculated density, g/cm3: 4.64
# Formation energy (no corrections), eV/atom: -0.84
data_ZnSeO4
_symmetry_space_group_name_H-M 'P m n 21'
_symmetry_Int_Tables_number 31
_symmetry_space_group_name_Hall 'P 2ac -2'
_cell_length_a 6.052
_cell_length_b 5.027
_cell_length_c 4.906
_cell_angle_alpha 90.00
_cell_angle_beta 90.00
_cell_angle_gamma 90.00
loop_
_atom_site_label
_atom_site_fract_x
_atom_site_fract_y
_atom_site_fract_z
Zn1 0.000 0.067 0.000
Se1 0.000 0.659 0.438
O1 0.000 0.347 0.334
O2 0.000 0.690 0.774
O3 0.214 0.831 0.296


No. 12
# SrAcAgI6 (PBE-GGA, optimized geometry)
# DOS at the Fermi energy, states/eV per cell: 0.0
# Calculated density, g/cm3: 4.68
# Formation energy (no corrections), eV/atom: -1.25
data_SrAcAgI6
_symmetry_space_group_name_H-M 'P 42 n m'
_symmetry_Int_Tables_number 102
_symmetry_space_group_name_Hall 'P 4n -2n'
_cell_length_a 7.651
_cell_length_b 7.651
_cell_length_c 14.358
_cell_angle_alpha 90.00
_cell_angle_beta 90.00
_cell_angle_gamma 90.00
loop_
_atom_site_label
_atom_site_fract_x
_atom_site_fract_y
_atom_site_fract_z
Sr1 0.000 0.000 0.000
Ac1 0.000 0.000 0.334
Ag1 0.000 0.000 0.667
I1 0.193 0.193 0.511
I2 0.195 0.195 0.823
I3 0.206 0.206 0.169